Density functional theory data (GGA-PBE) for a relaxed structure of NaGaAsSe3.

Values from the calculation:
Total DFT energy (no corrections) (Ha/atom): -0.1360
Raw formation energy (meV per atom): -460.5

abc: 3.896 8.369 10.515
angles: 97.09 90.00 90.00
Fractional coordinates of all 12 atoms:
1 Na 0.750 0.849 0.857
2 Na 0.250 0.151 0.143
3 Ga 0.750 0.915 0.388
4 Ga 0.250 0.085 0.612
5 Se 0.250 0.576 0.864
6 Se 0.750 0.424 0.136
7 Se 0.750 0.199 0.506
8 Se 0.750 0.889 0.161
9 Se 0.250 0.801 0.494
10 Se 0.250 0.111 0.839
11 As 0.250 0.622 0.150
12 As 0.750 0.378 0.850